Here is crystalline PmEr2ThN4 at its relaxed geometry from Alexandria via LeMat-Bulk. Energies are from PBE.

abc: 6.1190 3.5419 6.1193
angles: 90.00 109.33 90.00
Fractional positions:
Pm1 0.0000 0.0000 0.0000
Er1 0.5000 0.0000 0.5000
Er2 0.5000 0.5000 0.0000
Th1 0.0000 0.5000 0.5000
N1 0.2588 0.0000 0.7491
N2 0.2592 0.5000 0.2585
N3 0.7412 0.0000 0.2509
N4 0.7408 0.5000 0.7415

Output
Energy relative to the elements, uncorrected   -1.639 eV/atom